VASP calculation (GGA-PBE) on a relaxed AcLuIr crystal.

Calculated values
As for the space group: F-43m. As for the density of states at the Fermi level: 3.18 states/eV/f.u. The polymorph energy (0 for the lowest one) is 0.024 eV per atom.

Unit cell a=4.993 b=4.993 c=4.993 alpha=60.00 beta=60.00 gamma=60.00
Sites, in units of the cell vectors:
Lu1 0.500 0.500 0.500
Ir1 0.250 0.250 0.250
Ac1 0.000 0.000 0.000